La6CuSe2Br3 | PBE | optimized geometry

abc: 7.498 7.498 7.594
angles: 99.47 99.47 120.06
Fractional coordinates of all 12 atoms:
Cu 0.000 0.000 0.000
La 0.747 0.747 0.229
La 0.403 0.076 0.227
La 0.253 0.253 0.771
La 0.924 0.597 0.773
La 0.597 0.924 0.773
La 0.076 0.403 0.227
Br 0.500 0.500 0.500
Br 0.831 0.169 0.500
Br 0.169 0.831 0.500
Se 0.333 0.667 0.000
Se 0.667 0.333 0.000

Output
**Energy relative to the elements, uncorrected**: -1.341 eV per atom
**Space group**: C2/m (12)